The following is a GGA-PBE calculation of a relaxed Sc2TlAs crystal, from the Alexandria database.

The structure in POSCAR format:
```
Sc2TlAs
1.0
-0.989 1.685 3.552
-3.793 0.607 -1.344
-3.332 -4.502 1.207
As Sc Tl
1 2 1
Cartesian
-5.255 -2.612 2.089
-6.721 -3.371 -0.273
-2.670 -0.626 1.866
-4.155 -1.443 -0.473
```

The calculation puts the formation enthalpy at 0 K at -0.602 eV per atom. The energy above the most stable polymorph in this dataset is 18.8 kJ/mol of atoms.

The following is a GGA-PBE calculation of a relaxed LaMgTe2 crystal, from the Alexandria database.

The structure in POSCAR format:
```
LaMgTe2
1.0
-4.497 2.275 2.267
-4.373 1.212 -3.154
-4.650 -2.950 0.472
La Mg Te
1 1 2
Cartesian
-6.760 0.268 -0.208
-10.140 0.403 -0.312
0.000 0.000 0.000
-3.380 0.134 -0.104
```

Its uncorrected formation energy is -0.484 eV per atom.

The following is a GGA-PBE calculation of a relaxed LaSc3Br crystal, from the Alexandria database.

The structure in POSCAR format:
```
LaSc3Br
1.0
-2.892 -4.283 0.091
4.243 -2.849 0.767
-0.585 0.504 5.110
Sc Br La
3 1 1
Cartesian
2.122 -1.425 0.384
-0.293 0.252 2.555
-1.446 -2.141 0.046
0.000 0.000 0.000
0.383 -3.314 2.984
```

The energy above the most stable polymorph in this dataset is 0.0 kJ/mol of atoms. Its uncorrected formation energy is -0.124 eV per atom.

The following is a GGA-PBE calculation of a relaxed Be3Ag crystal, from the Alexandria database.

The structure in POSCAR format:
```
Be3Ag
1.0
-1.398 -3.476 0.442
1.915 -1.256 -3.817
4.174 -1.356 2.541
Be Ag
6 2
Cartesian
-0.219 -2.053 -0.737
3.522 -1.619 -1.589
1.201 -0.477 0.048
3.498 -1.224 1.447
3.979 -3.805 -1.232
2.103 -3.195 -2.374
1.215 -0.797 -2.421
2.088 -2.875 0.095
```

The calculation puts the formation enthalpy at 0 K at 0.141 eV per atom. The energy above the most stable polymorph in this dataset is 0.0 kJ/mol of atoms.

The following is a GGA-PBE calculation of a relaxed Pm6Nd2Ho3 crystal, from the Alexandria database.

The structure in POSCAR format:
```
Pm6Nd2Ho3
1.0
-1.140 2.405 3.992
-4.659 -0.699 -0.910
3.342 -15.324 7.302
Pm Nd Ho
6 2 3
Cartesian
-2.222 -3.877 1.701
-0.462 -2.325 4.152
-0.236 -9.741 8.684
-1.995 -11.293 6.233
-2.723 -4.919 5.069
0.266 -8.699 5.316
0.402 -13.154 8.039
-2.859 -0.464 2.346
0.000 0.000 0.000
-2.633 -7.853 6.862
0.176 -5.765 3.523
```

The calculation puts the formation enthalpy at 0 K at 0.279 eV per atom. The energy above the most stable polymorph in this dataset is 0.0 kJ/mol of atoms.

The following is a GGA-PBE calculation of a relaxed NpRhS3 crystal, from the Alexandria database.

The structure in POSCAR format:
```
NpRhS3
1.0
3.756 0.000 0.000
0.000 7.627 0.000
0.000 0.000 12.560
Np Rh S
4 4 12
Cartesian
2.817 6.759 10.362
0.939 0.868 2.198
2.817 2.946 8.477
0.939 4.681 4.082
0.939 2.480 11.907
0.939 6.294 6.933
2.817 1.333 5.627
2.817 5.147 0.653
0.939 2.694 6.306
2.817 6.347 2.707
2.817 3.830 11.222
2.817 0.016 7.617
2.817 4.933 6.253
0.939 7.611 4.942
0.939 6.508 12.533
2.817 2.533 3.573
0.939 5.094 8.987
0.939 1.280 9.853
2.817 1.119 0.027
0.939 3.797 1.338
```

The energy above the most stable polymorph in this dataset is 0.0 kJ/mol of atoms. Its uncorrected formation energy is -0.925 eV per atom.

The following is a GGA-PBE calculation of a relaxed Tb5SmDyEr2 crystal, from the Alexandria database.

The structure in POSCAR format:
```
Tb5SmDyEr2
1.0
5.600 0.000 0.000
-2.800 9.927 0.000
0.000 0.000 10.545
Tb Sm Dy Er
10 2 2 4
Cartesian
0.000 7.715 0.246
2.800 4.342 8.558
0.000 9.504 7.785
0.000 5.929 7.465
2.800 9.573 5.522
2.800 2.211 5.519
0.000 5.585 3.285
2.800 0.422 2.513
2.800 3.997 2.192
0.000 0.353 0.249
2.800 1.694 10.050
0.000 8.233 4.777
2.800 5.965 5.395
0.000 3.961 0.122
2.800 7.661 8.631
0.000 2.198 7.764
0.000 2.266 3.359
2.800 7.728 2.491
```

The calculation puts the formation enthalpy at 0 K at 0.157 eV per atom.

The following is a GGA-PBE calculation of a relaxed BaLi2Mn crystal, from the Alexandria database.

The structure in POSCAR format:
```
BaLi2Mn
1.0
-0.263 -5.983 -1.226
3.900 -1.762 -4.365
-0.235 2.667 5.496
Ba Li Mn
1 2 1
Cartesian
0.660 -3.595 0.737
0.130 -0.278 -0.201
1.688 -3.595 -2.595
2.742 -1.484 -0.832
```

The calculation puts the formation enthalpy at 0 K at 0.406 eV per atom. The energy above the most stable polymorph in this dataset is 4.1 kJ/mol of atoms.

The following is a GGA-PBE calculation of a relaxed Y2TlPb crystal, from the Alexandria database.

The structure in POSCAR format:
```
Y2TlPb
1.0
-2.177 -4.390 6.769
-6.660 -2.979 -4.073
-2.510 -6.390 0.206
Pb Y Tl
2 4 2
Cartesian
0.000 0.000 0.000
-4.553 -7.232 4.161
-2.820 -4.712 3.771
-5.063 -4.009 -1.647
-5.198 -7.556 1.165
-9.613 -11.239 2.514
-4.418 -3.684 1.348
-6.794 -6.526 -1.260
```

The calculation puts the formation enthalpy at 0 K at -0.191 eV per atom.

The following is a GGA-PBE calculation of a relaxed NdAl3Fe crystal, from the Alexandria database.

The structure in POSCAR format:
```
NdAl3Fe
1.0
-1.242 -4.166 1.340
1.749 0.804 4.121
-4.011 1.640 1.383
Nd Fe Al
1 1 3
Cartesian
-1.752 -0.861 3.422
0.000 0.000 0.000
0.875 0.402 2.061
-2.006 0.820 0.691
-0.621 -2.083 0.670
```

The calculation puts the formation enthalpy at 0 K at -0.380 eV per atom. The energy above the most stable polymorph in this dataset is 0.0 kJ/mol of atoms.

The following is a GGA-PBE calculation of a relaxed Ba2SrRh9 crystal, from the Alexandria database.

The structure in POSCAR format:
```
Ba2SrRh9
1.0
0.543 -3.084 4.524
0.235 -5.481 -0.418
9.182 -2.414 0.599
Ba Sr Rh
2 1 9
Cartesian
4.541 -8.379 3.781
5.418 -2.600 0.923
0.000 0.000 0.000
9.640 -8.127 3.341
0.319 -2.852 1.363
4.980 -5.490 2.352
2.465 -4.221 1.894
2.729 -5.719 4.090
2.579 -6.883 1.691
7.494 -6.758 2.810
7.380 -4.097 3.014
7.231 -5.260 0.614
```

The calculation puts the formation enthalpy at 0 K at -0.074 eV per atom.

The following is a GGA-PBE calculation of a relaxed PIrAu2 crystal, from the Alexandria database.

The structure in POSCAR format:
```
PIrAu2
1.0
2.856 -0.005 0.000
-1.490 2.436 0.000
0.000 0.000 9.589
Au Ir P
2 1 1
Cartesian
0.000 0.000 9.569
0.000 0.000 4.814
0.683 1.215 2.397
0.683 1.215 7.191
```

The calculation puts the formation enthalpy at 0 K at 0.486 eV per atom.

Which calculated volume belongs to each record? In order, 88 119 138 85 391 360 586 109 245 94 235 67 Å³ per cell.